10
Lattice="6.586 0.000 0.000 0.000 6.586 0.000 0.000 0.000 3.988" Properties=species:S:1:pos:R:3 comment="Hf2CuGe2 PBE relaxed" final_energy_ev_per_cell=-71.0 pbc="T T T"
Hf 2.128 1.165 1.994
Ge 2.419 5.711 0.000
Cu 0.000 0.000 0.000
Ge 0.874 2.419 0.000
Ge 5.711 4.167 0.000
Ge 4.167 0.874 0.000
Hf 4.458 5.421 1.994
Hf 1.165 4.458 1.994
Hf 5.421 2.128 1.994
Cu 3.293 3.293 0.000